DFT (GGA-PBE) results for an optimized crystal structure of BeHg2Br.

Lattice parameters (Å, degrees): 6.7604 6.7604 10.0649 90.00 90.00 90.00
Atoms (fractional coordinates):
Be1 0.0000 0.0000 0.0000
Be2 0.0000 0.5000 0.2500
Be3 0.5000 0.0000 0.7500
Be4 0.5000 0.5000 0.5000
Hg1 0.1693 0.2500 0.1250
Hg2 0.2500 0.6693 0.3750
Hg3 0.2500 0.8307 0.8750
Hg4 0.3307 0.2500 0.6250
Hg5 0.6693 0.7500 0.6250
Hg6 0.7500 0.1693 0.8750
Hg7 0.7500 0.3307 0.3750
Hg8 0.8307 0.7500 0.1250
Br1 0.0000 0.0000 0.5000
Br2 0.0000 0.5000 0.7500
Br3 0.5000 0.0000 0.2500
Br4 0.5000 0.5000 0.0000

Results
energy relative to the lowest polymorph listed for this composition: 209 meV per atom
calculated density: 7.1 Mg/m³
E_form (uncorrected): 14 kJ/mol of atoms
E_tot: -21.7 eV for the cell shown
SG: I-42d (122)



DFT (GGA-PBE) results for an optimized crystal structure of NaTl2CdIn5.

Lattice parameters (Å, degrees): 9.8409 9.8409 15.1684 90.00 90.00 160.27
Atoms (fractional coordinates):
Na1 0.0398 0.9602 0.5000
Na2 0.9602 0.0398 0.0000
Tl1 0.3748 0.6252 0.8446
Tl2 0.3801 0.6199 0.4625
Tl3 0.6199 0.3801 0.9625
Tl4 0.6252 0.3748 0.3446
Cd1 0.3742 0.6258 0.1557
Cd2 0.6258 0.3742 0.6557
In1 0.0348 0.9652 0.8030
In2 0.1885 0.8115 0.1583
In3 0.2103 0.7897 0.8028
In4 0.2161 0.7839 0.5141
In5 0.4573 0.5427 0.6527
In6 0.5427 0.4573 0.1527
In7 0.7839 0.2161 0.0141
In8 0.7897 0.2103 0.3028
In9 0.8115 0.1885 0.6583
In10 0.9652 0.0348 0.3030

Results
calculated formation energy: -0.8 kJ/mol of atoms
calculated density: 7.5 Mg/m³
E_tot: -41.5 eV for the cell shown
SG: Cmc2_1 (36)



DFT (GGA-PBE) results for an optimized crystal structure of Ho5GeSe4.

Lattice parameters (Å, degrees): 10.7897 10.7897 10.7897 158.14 149.10 38.17
Atoms (fractional coordinates):
Ho1 0.0000 0.0000 0.0000
Ho2 0.1996 0.1996 0.0000
Ho3 0.4045 0.4045 0.0000
Ho4 0.5955 0.5955 0.0000
Ho5 0.8004 0.8004 0.0000
Ge1 0.5000 0.0000 0.5000
Se1 0.1014 0.6014 0.5000
Se2 0.3001 0.8001 0.5000
Se3 0.6999 0.1999 0.5000
Se4 0.8986 0.3986 0.5000

Results
calculated density: 8.4 Mg/m³
E_form (uncorrected): -156 kJ/mol of atoms
E_tot: -57.7 eV for the cell shown
SG: Immm (71)



DFT (GGA-PBE) results for an optimized crystal structure of MnAu2.

Lattice parameters (Å, degrees): 7.7958 7.7958 2.9169 90.00 90.00 120.00
Atoms (fractional coordinates):
Mn1 0.0000 0.0000 0.0000
Mn2 0.3333 0.6667 0.5000
Mn3 0.6667 0.3333 0.5000
Au1 0.0000 0.3004 0.5000
Au2 0.0000 0.6349 0.0000
Au3 0.3004 0.0000 0.5000
Au4 0.3651 0.3651 0.0000
Au5 0.6349 0.0000 0.0000
Au6 0.6996 0.6996 0.5000

Results
calculated formation energy: 0.8 kJ/mol of atoms
energy relative to the lowest polymorph listed for this composition: 110 meV per atom
calculated density: 14.6 Mg/m³
E_tot: -47.1 eV for the cell shown
SG: P-62m (189)



DFT (GGA-PBE) results for an optimized crystal structure of La3Tb8Pm2.

Lattice parameters (Å, degrees): 5.6501 6.9328 11.8086 101.66 103.73 90.02
Atoms (fractional coordinates):
La1 0.0000 0.0000 0.0000
La2 0.4881 0.7051 0.9767
La3 0.5119 0.2949 0.0233
Tb1 0.0774 0.5950 0.1548
Tb2 0.1771 0.2608 0.3548
Tb3 0.3327 0.4850 0.6656
Tb4 0.3754 0.0250 0.7505
Tb5 0.6246 0.9750 0.2495
Tb6 0.6673 0.5150 0.3344
Tb7 0.8229 0.7392 0.6452
Tb8 0.9226 0.4050 0.8452
Pm1 0.2280 0.8084 0.4552
Pm2 0.7720 0.1916 0.5448

Results
calculated formation energy: 7.8 kJ/mol of atoms
energy relative to the lowest polymorph listed for this composition: 0 meV per atom
calculated density: 7.5 Mg/m³
E_tot: -60.3 eV for the cell shown
SG: P-1 (2)



DFT (GGA-PBE) results for an optimized crystal structure of AlFeSi2.

Lattice parameters (Å, degrees): 2.8694 2.8694 22.5301 90.00 90.00 120.00
Atoms (fractional coordinates):
Al1 0.0000 0.0000 0.0000
Al2 0.3333 0.6667 0.6667
Al3 0.6667 0.3333 0.3333
Fe1 0.0000 0.0000 0.7489
Fe2 0.3333 0.6667 0.4156
Fe3 0.6667 0.3333 0.0822
Si1 0.0000 0.0000 0.2395
Si2 0.0000 0.0000 0.4880
Si3 0.3333 0.6667 0.1546
Si4 0.3333 0.6667 0.9061
Si5 0.6667 0.3333 0.5728
Si6 0.6667 0.3333 0.8213

Results
calculated density: 4.3 Mg/m³
E_form (uncorrected): 3 kJ/mol of atoms
E_tot: -68.7 eV for the cell shown
SG: R3m (160)



DFT (GGA-PBE) results for an optimized crystal structure of Sm4Tm8Pu.

Lattice parameters (Å, degrees): 7.6972 7.6972 7.6972 90.13 90.13 90.13
Atoms (fractional coordinates):
Sm1 0.0000 0.0000 0.0000
Sm2 0.0000 0.5000 0.5000
Sm3 0.5000 0.0000 0.5000
Sm4 0.5000 0.5000 0.0000
Tm1 0.2442 0.2442 0.2442
Tm2 0.2438 0.2438 0.7547
Tm3 0.2438 0.7547 0.2438
Tm4 0.2453 0.7562 0.7562
Tm5 0.7547 0.2438 0.2438
Tm6 0.7562 0.2453 0.7562
Tm7 0.7562 0.7562 0.2453
Tm8 0.7558 0.7558 0.7558
Pu1 0.5000 0.5000 0.5000

Results
calculated formation energy: 51.8 kJ/mol of atoms
calculated density: 8.0 Mg/m³
E_tot: -62.0 eV for the cell shown
SG: R-3m (166)



DFT (GGA-PBE) results for an optimized crystal structure of ZnInTe2.

Lattice parameters (Å, degrees): 3.6910 3.6910 7.6966 90.00 90.00 90.00
Atoms (fractional coordinates):
Zn1 0.0000 0.0000 0.0000
In1 0.0000 0.0000 0.5000
Te1 0.5000 0.5000 0.2228
Te2 0.5000 0.5000 0.7772

Results
calculated density: 6.9 Mg/m³
E_form (uncorrected): 7 kJ/mol of atoms
E_tot: -10.0 eV for the cell shown
SG: P4/mmm (123)



DFT (GGA-PBE) results for an optimized crystal structure of PmTh3.

Lattice parameters (Å, degrees): 3.5706 11.8802 6.2187 90.00 90.00 90.00
Atoms (fractional coordinates):
Pm1 0.0000 0.0000 0.0000
Pm2 0.5000 0.5000 0.5000
Th1 0.0000 0.2498 0.6742
Th2 0.0000 0.5000 0.0062
Th3 0.0000 0.7502 0.6742
Th4 0.5000 0.0000 0.5062
Th5 0.5000 0.2502 0.1742
Th6 0.5000 0.7498 0.1742

Results
calculated formation energy: 6.6 kJ/mol of atoms
energy relative to the lowest polymorph listed for this composition: 7 meV per atom
calculated density: 10.6 Mg/m³
E_tot: -53.5 eV for the cell shown
SG: Imm2 (44)



DFT (GGA-PBE) results for an optimized crystal structure of MgCd4Ag.

Lattice parameters (Å, degrees): 5.7121 5.7121 5.7121 60.00 60.00 60.00
Atoms (fractional coordinates):
Mg1 0.0000 0.0000 0.0000
Cd1 0.3752 0.3752 0.3752
Cd2 0.3752 0.3752 0.8744
Cd3 0.3752 0.8744 0.3752
Cd4 0.8744 0.3752 0.3752
Ag1 0.7500 0.7500 0.7500

Results
calculated formation energy: 5.9 kJ/mol of atoms
energy relative to the lowest polymorph listed for this composition: 96 meV per atom
calculated density: 7.3 Mg/m³
E_tot: -7.7 eV for the cell shown
SG: F-43m (216)



DFT (GGA-PBE) results for an optimized crystal structure of CaGe2.

Lattice parameters (Å, degrees): 5.7052 5.7052 5.7052 60.00 60.00 60.00
Atoms (fractional coordinates):
Ca1 0.1250 0.1250 0.1250
Ca2 0.8750 0.8750 0.8750
Ge1 0.0000 0.5000 0.5000
Ge2 0.5000 0.0000 0.5000
Ge3 0.5000 0.5000 0.0000
Ge4 0.5000 0.5000 0.5000

Results
calculated formation energy: -39.6 kJ/mol of atoms
calculated density: 4.7 Mg/m³
E_tot: -24.9 eV for the cell shown
SG: Fd-3m (227)



DFT (GGA-PBE) results for an optimized crystal structure of Ga3Ag6F14.

Lattice parameters (Å, degrees): 8.6958 8.6958 5.5229 90.00 90.00 120.00
Atoms (fractional coordinates):
Ga1 0.0000 0.0000 0.0000
Ga2 0.3333 0.6667 0.0915
Ga3 0.6667 0.3333 0.4074
Ag1 0.1296 0.3187 0.4755
Ag2 0.1891 0.8704 0.4755
Ag3 0.4302 0.3946 0.8451
Ag4 0.6054 0.0355 0.8451
Ag5 0.6813 0.8109 0.4755
Ag6 0.9645 0.5698 0.8451
F1 0.0000 0.0000 0.6668
F2 0.1244 0.5962 0.2874
F3 0.1826 0.4628 0.8880
F4 0.2238 0.1324 0.1160
F5 0.2802 0.8174 0.8880
F6 0.4038 0.5282 0.2874
F7 0.4513 0.1862 0.5495
F8 0.4718 0.8756 0.2874
F9 0.5372 0.7198 0.8880
F10 0.6667 0.3333 0.0799
F11 0.7349 0.5487 0.5495
F12 0.8138 0.2651 0.5495
F13 0.8676 0.0914 0.1160
F14 0.9086 0.7762 0.1160

Results
calculated density: 5.2 Mg/m³
E_form (uncorrected): -164 kJ/mol of atoms
E_tot: -91.6 eV for the cell shown
SG: P3 (143)



DFT (GGA-PBE) results for an optimized crystal structure of CaTi2Br.

Lattice parameters (Å, degrees): 4.0839 4.0839 23.0907 90.00 90.00 90.00
Atoms (fractional coordinates):
Ca1 0.0000 0.0000 0.0000
Ca2 0.0000 0.5000 0.2500
Ca3 0.5000 0.0000 0.7500
Ca4 0.5000 0.5000 0.5000
Ti1 0.1339 0.2500 0.6250
Ti2 0.2500 0.6339 0.8750
Ti3 0.2500 0.8661 0.3750
Ti4 0.3661 0.2500 0.1250
Ti5 0.6339 0.7500 0.1250
Ti6 0.7500 0.1339 0.3750
Ti7 0.7500 0.3661 0.8750
Ti8 0.8661 0.7500 0.6250
Br1 0.0000 0.0000 0.5000
Br2 0.0000 0.5000 0.7500
Br3 0.5000 0.0000 0.2500
Br4 0.5000 0.5000 0.0000

Results
energy relative to the lowest polymorph listed for this composition: 0 meV per atom
calculated density: 3.7 Mg/m³
E_form (uncorrected): 33 kJ/mol of atoms
E_tot: -72.5 eV for the cell shown
SG: I-42d (122)



DFT (GGA-PBE) results for an optimized crystal structure of CaSmMg.

Lattice parameters (Å, degrees): 3.7701 3.7701 13.6749 90.00 90.00 90.00
Atoms (fractional coordinates):
Ca1 0.0000 0.0000 0.0000
Ca2 0.5000 0.5000 0.5000
Sm1 0.0000 0.0000 0.2999
Sm2 0.5000 0.5000 0.7999
Mg1 0.0000 0.0000 0.6551
Mg2 0.5000 0.5000 0.1551

Results
calculated formation energy: -0.4 kJ/mol of atoms
energy relative to the lowest polymorph listed for this composition: 41 meV per atom
calculated density: 3.7 Mg/m³
E_tot: -16.7 eV for the cell shown
SG: I4mm (107)



DFT (GGA-PBE) results for an optimized crystal structure of AcCoAs2.

Lattice parameters (Å, degrees): 4.5416 4.5416 4.3525 90.00 90.00 90.00
Atoms (fractional coordinates):
Ac1 0.0000 0.0000 0.0000
Co1 0.5000 0.5000 0.0000
As1 0.0000 0.5000 0.5000
As2 0.5000 0.0000 0.5000

Results
calculated formation energy: -12.0 kJ/mol of atoms
energy relative to the lowest polymorph listed for this composition: 659 meV per atom
calculated density: 8.1 Mg/m³
E_tot: -21.0 eV for the cell shown
SG: P4/mmm (123)



DFT (GGA-PBE) results for an optimized crystal structure of Dy3PCl3.

Lattice parameters (Å, degrees): 10.7796 10.7796 10.7796 36.42 36.42 36.42
Atoms (fractional coordinates):
Dy1 0.1112 0.4494 0.7877
Dy2 0.2123 0.8888 0.5506
Dy3 0.4494 0.7877 0.1112
Dy4 0.5506 0.2123 0.8888
Dy5 0.7877 0.1112 0.4494
Dy6 0.8888 0.5506 0.2123
P1 0.1667 0.1667 0.1667
P2 0.8333 0.8333 0.8333
Cl1 0.0633 0.7258 0.3946
Cl2 0.2742 0.6054 0.9367
Cl3 0.3946 0.0633 0.7258
Cl4 0.6054 0.9367 0.2742
Cl5 0.7258 0.3946 0.0633
Cl6 0.9367 0.2742 0.6054

Results
calculated density: 5.3 Mg/m³
E_form (uncorrected): -174 kJ/mol of atoms
E_tot: -74.7 eV for the cell shown
SG: R-3 (148)



DFT (GGA-PBE) results for an optimized crystal structure of CsLaBr4.

Lattice parameters (Å, degrees): 9.7132 9.7132 8.1862 105.89 105.89 44.66
Atoms (fractional coordinates):
Cs1 0.2023 0.7977 0.7500
Cs2 0.7977 0.2023 0.2500
La1 0.0000 0.5000 0.0000
La2 0.5000 0.0000 0.5000
Br1 0.1191 0.2620 0.6539
Br2 0.2620 0.1191 0.1539
Br3 0.2882 0.5214 0.0524
Br4 0.4786 0.7118 0.4476
Br5 0.5214 0.2882 0.5524
Br6 0.7118 0.4786 0.9476
Br7 0.7380 0.8809 0.8461
Br8 0.8809 0.7380 0.3461

Results
energy relative to the lowest polymorph listed for this composition: 0 meV per atom
calculated density: 3.8 Mg/m³
E_form (uncorrected): -185 kJ/mol of atoms
E_tot: -48.0 eV for the cell shown
SG: C2/c (15)



DFT (GGA-PBE) results for an optimized crystal structure of Rb2Cd12In5.

Lattice parameters (Å, degrees): 8.0371 8.0371 8.0371 84.41 84.41 84.41
Atoms (fractional coordinates):
Rb1 0.1619 0.1619 0.1619
Rb2 0.8381 0.8381 0.8381
Cd1 0.1486 0.1486 0.6671
Cd2 0.1486 0.6671 0.1486
Cd3 0.1938 0.5000 0.8062
Cd4 0.1938 0.8062 0.5000
Cd5 0.3329 0.8514 0.8514
Cd6 0.5000 0.1938 0.8062
Cd7 0.5000 0.8062 0.1938
Cd8 0.6671 0.1486 0.1486
Cd9 0.8062 0.1938 0.5000
Cd10 0.8062 0.5000 0.1938
Cd11 0.8514 0.3329 0.8514
Cd12 0.8514 0.8514 0.3329
In1 0.0000 0.5000 0.5000
In2 0.4011 0.4011 0.4011
In3 0.5000 0.0000 0.5000
In4 0.5000 0.5000 0.0000
In5 0.5989 0.5989 0.5989

Results
calculated formation energy: -2.4 kJ/mol of atoms
calculated density: 6.8 Mg/m³
E_tot: -27.1 eV for the cell shown
SG: R-3m (166)



DFT (GGA-PBE) results for an optimized crystal structure of AcTaSi2O8.

Lattice parameters (Å, degrees): 5.8383 5.8383 5.8383 105.62 105.62 117.49
Atoms (fractional coordinates):
Ac1 0.0000 0.0000 0.0000
Ta1 0.7500 0.2500 0.5000
Si1 0.2500 0.7500 0.5000
Si2 0.5000 0.5000 0.0000
O1 0.0547 0.3926 0.3379
O2 0.0547 0.7169 0.6621
O3 0.1490 0.3472 0.8018
O4 0.2831 0.9453 0.3379
O5 0.5454 0.3472 0.1982
O6 0.6074 0.9453 0.6621
O7 0.6528 0.4546 0.8018
O8 0.6528 0.8510 0.1982

Results
calculated density: 6.5 Mg/m³
E_form (uncorrected): -266 kJ/mol of atoms
E_tot: -99.5 eV for the cell shown
SG: I-4m2 (119)



DFT (GGA-PBE) results for an optimized crystal structure of Pu2SnSb.

Lattice parameters (Å, degrees): 4.8311 4.8311 4.4593 90.00 90.00 90.00
Atoms (fractional coordinates):
Pu1 0.0000 0.5000 0.0000
Pu2 0.5000 0.0000 0.0000
Sn1 0.0000 0.0000 0.5000
Sb1 0.5000 0.5000 0.5000

Results
energy relative to the lowest polymorph listed for this composition: 0 meV per atom
calculated density: 11.6 Mg/m³
E_form (uncorrected): -47 kJ/mol of atoms
E_tot: -38.7 eV for the cell shown
SG: P4/mmm (123)